Entry 1:
The following is a PBE calculation of MoCl3 after structural relaxation, from the Alexandria database.

Summary:
As for the raw formation energy: 496 meV per atom. Its calculated density is 3.9 g cm⁻³. Its space group is R-3m, No. 166. The energy above the most stable polymorph in this dataset comes out at 1354 meV per atom. The value obtained for the total magnetization is 3.17 μB/f.u. The final energy comes out at -14.39 eV for the cell shown.

a = 5.144 Å, b = 5.144 Å, c = 5.144 Å
α = 113.30°, β = 113.30°, γ = 113.30°
Site moments in Bohr magnetons follow the coordinates.
Fractional coordinates of all 4 atoms:
Cl  0.500  0.000  0.500  -0.18
Mo  0.000  0.500  0.500  3.25
Cl  0.000  0.000  0.000  -0.18
Cl  0.500  0.500  0.000  -0.18

Entry 2:
The following is a PBE calculation of La3Al2GaPt9 after structural relaxation, from the Alexandria database.

Summary:
Its calculated density is 11.5 g cm⁻³. Its space group is P-3m1, No. 164. The value obtained for the total magnetization is 0.00 μB/f.u. The formation energy is -0.75 eV/atom. The final energy comes out at -90.86 eV for the cell shown.

a = 6.528 Å, b = 6.528 Å, c = 8.996 Å
α = 90.00°, β = 90.00°, γ = 120.00°
Fractional coordinates of all 15 atoms:
Ga  0.000  0.000  0.500
La  0.000  0.000  0.000
Al  0.333  0.667  0.184
Pt  0.860  0.720  0.718
Al  0.667  0.333  0.816
Pt  0.500  0.500  0.000
Pt  0.860  0.140  0.718
Pt  0.140  0.860  0.282
Pt  0.500  0.000  0.000
Pt  0.140  0.280  0.282
Pt  0.000  0.500  0.000
Pt  0.280  0.140  0.718
La  0.667  0.333  0.288
Pt  0.720  0.860  0.282
La  0.333  0.667  0.712

Entry 3:
The following is a PBE calculation of Pm7NdSm4 after structural relaxation, from the Alexandria database.

Summary:
Its calculated density is 7.0 g cm⁻³. Its space group is C2/m, No. 12. The energy above the most stable polymorph in this dataset comes out at 196 meV per atom. The value obtained for the total magnetization is 0.00 μB/f.u. The formation energy is 0.20 eV/atom. The final energy comes out at -54.47 eV for the cell shown.

a = 6.048 Å, b = 9.865 Å, c = 8.703 Å
α = 60.82°, β = 69.67°, γ = 72.15°
Fractional coordinates of all 12 atoms:
Sm  0.672  0.611  0.044
Pm  0.791  0.229  0.189
Pm  0.209  0.771  0.811
Sm  0.426  0.698  0.449
Sm  0.574  0.302  0.551
Pm  0.500  0.000  0.000
Pm  0.786  0.879  0.548
Pm  0.083  0.556  0.278
Nd  0.000  0.000  0.000
Pm  0.214  0.121  0.452
Sm  0.328  0.389  0.956
Pm  0.917  0.444  0.722

Entry 4:
The following is a PBE calculation of AcHgPd3Au after structural relaxation, from the Alexandria database.

Summary:
Its calculated density is 12.1 g cm⁻³. Its space group is Cmcm, No. 63. The value obtained for the total magnetization is 0.00 μB/f.u. The formation energy is -0.40 eV/atom. The final energy comes out at -51.38 eV for the cell shown.

a = 6.061 Å, b = 6.023 Å, c = 7.722 Å
α = 112.95°, β = 90.00°, γ = 90.00°
Fractional coordinates of all 12 atoms:
Pd  0.500  0.273  0.000
Ac  0.250  0.668  0.336
Pd  0.500  0.727  0.000
Hg  0.250  0.889  0.779
Au  0.250  0.346  0.692
Pd  0.000  0.273  0.000
Pd  0.250  0.146  0.292
Pd  0.750  0.854  0.708
Au  0.750  0.654  0.308
Hg  0.750  0.111  0.221
Ac  0.750  0.332  0.664
Pd  0.000  0.727  0.000

Entry 5:
The following is a PBE calculation of Ba3SmIr2O9 after structural relaxation, from the Alexandria database.

Summary:
As for the raw formation energy: -2043 meV per atom. Its calculated density is 8.1 g cm⁻³. Its space group is P-3m1, No. 164. The energy above the most stable polymorph in this dataset comes out at 35 meV per atom. The value obtained for the total magnetization is 3.09 μB/f.u. The final energy comes out at -103.47 eV for the cell shown.

a = 5.929 Å, b = 5.929 Å, c = 7.305 Å
α = 90.00°, β = 90.00°, γ = 120.00°
Site moments in Bohr magnetons follow the coordinates.
Fractional coordinates of all 15 atoms:
O  0.178  0.356  0.316  0.07
O  0.822  0.178  0.684  0.07
O  0.178  0.822  0.316  0.07
O  0.500  0.000  0.000  0.19
O  0.356  0.178  0.684  0.07
Ba  0.667  0.333  0.323  0.01
O  0.822  0.644  0.684  0.07
Ir  0.333  0.667  0.156  0.90
O  0.644  0.822  0.316  0.07
Ir  0.667  0.333  0.844  0.90
O  0.500  0.500  0.000  0.19
Ba  0.333  0.667  0.677  0.01
O  0.000  0.500  0.000  0.19
Sm  0.000  0.000  0.500  -0.01
Ba  0.000  0.000  0.000  0.01

Entry 6:
The following is a PBE calculation of AgHg2Rh after structural relaxation, from the Alexandria database.

Summary:
Its calculated density is 13.8 g cm⁻³. Its space group is Cmmm, No. 65. The value obtained for the total magnetization is 0.00 μB/f.u. The formation energy is 0.12 eV/atom. The final energy comes out at -10.32 eV for the cell shown.

a = 4.878 Å, b = 4.878 Å, c = 3.181 Å
α = 90.00°, β = 90.00°, γ = 102.77°
Fractional coordinates of all 4 atoms:
Hg  0.500  0.000  0.000
Rh  0.000  0.000  0.500
Ag  0.500  0.500  0.500
Hg  0.000  0.500  0.000

Entry 7:
The following is a PBE calculation of MnAgRh2 after structural relaxation, from the Alexandria database.

Summary:
Its calculated density is 10.0 g cm⁻³. Its space group is Cmm2, No. 35. The energy above the most stable polymorph in this dataset comes out at 222 meV per atom. The value obtained for the total magnetization is 3.52 μB/f.u. The formation energy is 0.27 eV/atom. The final energy comes out at -25.66 eV for the cell shown.

a = 2.739 Å, b = 2.739 Å, c = 9.123 Å
α = 90.00°, β = 90.00°, γ = 116.76°
Site moments in Bohr magnetons follow the coordinates.
Fractional coordinates of all 4 atoms:
Mn  0.500  0.500  0.765  3.51
Rh  0.500  0.500  0.240  -0.38
Rh  0.000  0.000  0.989  0.21
Ag  0.000  0.000  0.506  0.02

Entry 8:
The following is a PBE calculation of YAlSb2Te after structural relaxation, from the Alexandria database.

Summary:
As for the raw formation energy: 309 meV per atom. Its calculated density is 4.1 g cm⁻³. Its space group is P4/mmm, No. 123. The energy above the most stable polymorph in this dataset comes out at 271 meV per atom. The value obtained for the total magnetization is 0.00 μB/f.u. The final energy comes out at -20.05 eV for the cell shown.

a = 5.807 Å, b = 5.807 Å, c = 5.838 Å
α = 90.00°, β = 90.00°, γ = 90.00°
Fractional coordinates of all 5 atoms:
Sb  0.000  0.500  0.000
Sb  0.500  0.000  0.000
Y  0.000  0.000  0.000
Te  0.000  0.000  0.500
Al  0.500  0.500  0.500